A plane-wave DFT calculation with GGA-PBE was carried out for KY2RuCl after structural relaxation.

Cell: 5.189 5.189 6.453 Å, 90.00 90.00 90.00°
Space group P4/mmm (No. 123)
One atom of each set of equivalent atoms:
K (0.000, 0.000, 0.000) x1
Y (0.000, 0.500, 0.500) x2
Ru (0.500, 0.500, 0.500) x1
Cl (0.500, 0.500, 0.000) x1

Summary:
ΔE_f (raw): -1 kJ per mole of atoms
Size of the total moment: 0.000 μB per cell